This record from the Alexandria database describes a relaxed structure of PtPbNF2. The functional is PBE-GGA.

a = 4.3580 Å, b = 4.3580 Å, c = 4.4556 Å
α = 90.00°, β = 90.00°, γ = 90.00°
Last column: nearest neighbours and their distance in Å.
Fractional positions:
Pt (0.0000, 0.0000, 0.0000)  4 N 3.08, 8 F 3.12
Pb (0.5000, 0.5000, 0.5000)  4 F 2.18, 2 N 2.23
N (0.5000, 0.5000, 0.0000)  2 Pb 2.23
F (0.0000, 0.5000, 0.5000)  2 Pb 2.18
F (0.5000, 0.0000, 0.5000)  2 Pb 2.18

Output
uncorrected formation energy = 331 meV per atom
crystal system = tetragonal

=====

This record from the Alexandria database describes a relaxed structure of RhPbNF2. The functional is PBE-GGA.

a = 4.5666 Å, b = 4.5666 Å, c = 3.6991 Å
α = 90.00°, β = 90.00°, γ = 90.00°
Last column: nearest neighbours and their distance in Å.
Fractional positions:
Rh (0.0000, 0.0000, 0.0000)  2 N 1.85
Pb (0.5000, 0.5000, 0.5000)  8 F 2.94, 4 N 3.23
N (0.0000, 0.0000, 0.5000)  2 Rh 1.85
F (0.0000, 0.5000, 0.0000)  2 Rh 2.28
F (0.5000, 0.0000, 0.0000)  2 Rh 2.28

Output
uncorrected formation energy = -622 meV per atom
crystal system = tetragonal

=====

Number 1: offset from the most stable computed form 0.783 eV/atom. Number 2: offset from the most stable computed form 0.000 eV/atom.